# Ta2SiW

An optimized crystal structure of Ta2SiW (PBE, Alexandria).

Calculated values
Theoretical density: 14.5 g/cm³
Energy: -10.6459 eV per atom
Space group: Imm2 (44)
D(E_F): 1.7 states/eV/cell
M_tot: 0.00 μB per atom
V: 16.43 A^3/atom

POSCAR file:
```
Ta2SiW
1.0
-4.602 1.363 -2.073
-2.108 -3.443 -3.323
1.744 0.520 4.902
Si Ta W
1 2 1
Direct
0.259 0.759 0.500
0.996 0.996 0.000
0.743 0.243 0.500
0.502 0.502 0.000
```